(1)
Entry from Alexandria via LeMat-Bulk: a relaxed BeOs2Br crystal (PBE-GGA).

Output
The spin magnetization is 0.0 μB/cell. The density of states at the Fermi level comes out at 5.6 states/eV/cell. The polymorph energy (0 for the lowest one) comes out at 0.056 eV/atom. Its formation energy from raw total energies is 57.9 kJ/mol of atoms.

abc: 8.135 2.903 6.247
angles: 90.00 92.04 90.00
Space group Cm (No. 8)
One atom of each set of equivalent atoms:
Be (0.000, 0.000, 0.000) x2
Os (0.202, 0.500, 0.848) x2
Os (0.432, 0.000, 0.695) x2
Br (0.380, 0.500, 0.317) x2

(2)
Entry from Alexandria via LeMat-Bulk: a relaxed Ca crystal (PBE-GGA).

Output
The spin magnetization is 0.0 μB/cell. The density of states at the Fermi level comes out at 4.0 states/eV/cell. The polymorph energy (0 for the lowest one) comes out at 0.004 eV/atom. The calculation puts the formation energy at 0.42 kJ per mole of atoms.

abc: 3.8850 3.8850 12.8681
angles: 90.00 90.00 120.00
Space group P6_3/mmc (No. 194)
One atom of each set of equivalent atoms:
Ca (0.0000, 0.0000, 0.0000) x2
Ca (0.3333, 0.6667, 0.2500) x2